First-principles (PBE+U) data for an optimized crystal structure of Mn3V2Co3O16, as listed in the Alexandria database.

Lattice parameters (Å, degrees): 9.896 5.724 8.848 90.00 90.93 90.00
Space group Cm (No. 8)
Asymmetric unit:
Mn (0.000, 0.000, 0.000) x2
Mn (0.414, 0.247, 0.497) x4
V (0.002, 0.500, 0.211) x2
V (0.168, 0.000, 0.713) x2
Co (0.159, 0.500, 0.501) x2
Co (0.244, 0.246, 0.999) x4
O (0.000, 0.000, 0.619) x2
O (0.068, 0.283, 0.374) x4
O (0.090, 0.220, 0.875) x4
O (0.159, 0.500, 0.115) x2
O (0.169, 0.000, 0.107) x2
O (0.243, 0.243, 0.617) x4
O (0.306, 0.000, 0.877) x2
O (0.322, 0.500, 0.904) x2
O (0.327, 0.500, 0.396) x2
O (0.347, 0.000, 0.372) x2
O (0.416, 0.242, 0.116) x4
O (0.496, 0.000, 0.610) x2

Summary:
M_tot (μB per cell): 20.16
N(E_F) (states/eV/atom): 0.047
VASP energy (eV per cell): -323.50
Volume (Å³ per atom): 10.44